Entry 1:
Rb4Nd3ZrO8 GGA-PBE relaxed; N(E_F) = 3.43 states/eV per cell; crystal system = trigonal; uncorrected formation energy = -2.47 eV/atom; mass density = 5.62 g cm⁻³; SG = No. 166
1.0
-4.3838 5.3695 1.8411
-4.9064 -2.0580 -5.6807
1.7581 -5.0085 4.8238
O Rb Zr Nd
8 4 1 3
Direct
0.7895 0.3252 0.5790
0.2105 0.6748 0.4210
0.2462 0.3252 0.0357
0.7538 0.6748 0.9643
0.7895 0.3252 0.0357
0.7275 0.6824 0.4550
0.2105 0.6748 0.9643
0.2725 0.3176 0.5450
0.5000 0.0000 0.0000
0.0000 0.0000 0.0000
0.0000 0.0000 0.5000
0.5000 0.0000 0.5000
0.0000 0.5000 0.0000
0.5000 0.5000 0.0000
0.0000 0.5000 0.5000
0.5000 0.5000 0.5000



Entry 2:
NdReO5 GGA-PBE relaxed; N(E_F) = 0.00 states/eV per cell; crystal system = monoclinic; uncorrected formation energy = -2.24 eV/atom; mass density = 5.83 g cm⁻³; E above lowest polymorph = 0.000 eV/atom; SG = No. 9
1.0
5.3104 -0.0645 1.8412
0.8148 5.2479 1.8412
0.5049 0.4273 8.6709
O Nd Re
10 2 2
Direct
0.0801 0.3147 0.9576
0.7408 0.8526 0.1379
0.5888 0.3617 0.0323
0.3147 0.0801 0.4576
0.7634 0.1893 0.7699
0.1893 0.7634 0.2699
0.3617 0.5888 0.5323
0.1689 0.9100 0.8608
0.8526 0.7408 0.6379
0.9100 0.1689 0.3608
0.5589 0.4384 0.2874
0.4384 0.5589 0.7874
0.8838 0.1097 0.9481
0.1097 0.8838 0.4481



Entry 3:
Nd2ReO8 GGA-PBE relaxed; N(E_F) = 2.30 states/eV per cell; crystal system = monoclinic; uncorrected formation energy = -1.81 eV/atom; mass density = 7.47 g cm⁻³; SG = No. 12
1.0
3.8715 0.0000 0.0000
0.0000 4.8348 0.0550
-1.9357 -1.9734 7.1339
O Re Nd
8 1 2
Direct
0.9844 0.7868 0.9687
0.6216 0.0033 0.2432
0.2397 0.2746 0.4793
0.7603 0.7254 0.5207
0.0156 0.2132 0.0313
0.5413 0.4515 0.0827
0.4587 0.5485 0.9173
0.3784 0.9967 0.7568
0.5000 0.0000 0.0000
0.1758 0.6892 0.3515
0.8242 0.3108 0.6485



Entry 4:
Nd2ReO GGA-PBE relaxed; N(E_F) = 3.69 states/eV per cell; crystal system = trigonal; uncorrected formation energy = -0.40 eV/atom; mass density = 10.09 g cm⁻³; SG = No. 166
1.0
3.2529 0.0000 0.0000
1.6264 2.8171 0.0000
1.6264 0.9390 8.8128
Re Nd O
1 2 1
Direct
0.0000 0.0000 0.0000
0.1056 0.1056 0.6833
0.8944 0.8944 0.3167
0.5000 0.5000 0.5000



Entry 5:
NdReO5 GGA-PBE relaxed; crystal system = monoclinic; uncorrected formation energy = -2.21 eV/atom; mass density = 6.50 g cm⁻³; E above lowest polymorph = 0.028 eV/atom; SG = No. 15
1.0
5.6465 0.0249 -0.0375
1.8150 5.3470 -0.0375
2.6316 1.8945 6.9345
O Nd Re
10 2 2
Direct
0.7061 0.2743 0.9648
0.7664 0.7954 0.6119
0.2046 0.2336 0.8881
0.7257 0.2939 0.5352
0.2743 0.7061 0.4648
0.2336 0.2046 0.3881
0.2939 0.7257 0.0352
0.7954 0.7664 0.1119
0.0653 0.9347 0.7500
0.9347 0.0653 0.2500
0.5535 0.4465 0.2500
0.4465 0.5535 0.7500
0.0000 0.0000 0.5000
0.0000 0.0000 0.0000



Entry 6:
Nd5Re2O12 GGA-PBE relaxed; N(E_F) = 2.94 states/eV per cell; crystal system = monoclinic; uncorrected formation energy = -2.79 eV/atom; mass density = 7.63 g cm⁻³; SG = No. 12
1.0
-5.5090 0.3155 1.7426
2.8061 -6.4907 0.4384
2.2691 3.8259 6.4811
O Nd Re
12 5 2
Direct
0.4077 0.3196 0.0790
0.4072 0.3107 0.5767
0.0006 0.0012 0.1998
0.0880 0.6804 0.9210
0.4988 0.9977 0.8329
0.9994 0.9988 0.8002
0.0964 0.6893 0.4233
0.9036 0.3107 0.5767
0.5012 0.0023 0.1671
0.5923 0.6804 0.9210
0.5928 0.6893 0.4233
0.9120 0.3196 0.0790
0.3068 0.6136 0.6443
0.6932 0.3864 0.3557
0.3140 0.6281 0.1708
0.6860 0.3719 0.8292
0.0000 0.0000 0.5000
0.2128 0.0000 0.0000
0.7872 0.0000 0.0000



Entry 7:
Nd6ReO12 GGA-PBE relaxed; N(E_F) = 6.50 states/eV per cell; crystal system = trigonal; uncorrected formation energy = -3.02 eV/atom; mass density = 7.04 g cm⁻³; SG = No. 148
1.0
-6.6010 -1.1852 -0.5376
1.4706 -4.6336 4.6512
-0.2776 5.3917 4.0150
O Nd Re
12 6 1
Direct
0.5604 0.4076 0.8226
0.8226 0.5604 0.4076
0.4076 0.8226 0.5604
0.9672 0.2869 0.0687
0.0328 0.7131 0.9313
0.1774 0.4396 0.5924
0.7131 0.9313 0.0328
0.4396 0.5924 0.1774
0.2869 0.0687 0.9672
0.0687 0.9672 0.2869
0.5924 0.1774 0.4396
0.9313 0.0328 0.7131
0.3890 0.6908 0.8558
0.1442 0.6110 0.3092
0.6908 0.8558 0.3890
0.6110 0.3092 0.1442
0.8558 0.3890 0.6908
0.3092 0.1442 0.6110
0.0000 0.0000 0.0000



Entry 8:
Nd3Re2O9 GGA-PBE relaxed; N(E_F) = 4.46 states/eV per cell; crystal system = triclinic; uncorrected formation energy = -2.57 eV/atom; mass density = 8.21 g cm⁻³; SG = No. 2
1.0
5.6172 0.0346 -0.0058
2.4716 6.4627 -0.0084
2.7584 1.6339 10.5939
O Nd Re
18 6 4
Direct
0.3445 0.4743 0.8188
0.3952 0.1681 0.0736
0.6048 0.8319 0.9264
0.9210 0.7892 0.5262
0.8684 0.1893 0.0604
0.1875 0.4969 0.1987
0.6555 0.5257 0.1812
0.9379 0.8849 0.2812
0.4134 0.9251 0.3140
0.0790 0.2108 0.4738
0.5866 0.0749 0.6860
0.1316 0.8107 0.9396
0.0621 0.1151 0.7188
0.2886 0.4211 0.5793
0.4027 0.8113 0.5939
0.7114 0.5789 0.4207
0.8125 0.5031 0.8013
0.5973 0.1887 0.4061
0.9892 0.7867 0.7302
0.0108 0.2133 0.2698
0.7035 0.3965 0.6286
0.2304 0.1551 0.8842
0.7696 0.8449 0.1158
0.2965 0.6035 0.3714
0.5188 0.3875 0.0923
0.3480 0.1257 0.5683
0.4812 0.6125 0.9077
0.6520 0.8743 0.4317



Entry 9:
NdSc2ReO8 GGA-PBE relaxed; crystal system = orthorhombic; uncorrected formation energy = -2.71 eV/atom; mass density = 5.70 g cm⁻³; SG = No. 65
1.0
-3.4514 3.1134 -1.5571
-1.9683 0.2416 4.4832
3.9702 5.1351 1.4665
Nd O Sc Re
1 8 2 1
Direct
0.0000 0.0000 0.5000
0.6763 0.6766 0.5000
0.1944 0.8055 0.7957
0.2719 0.2717 0.0000
0.8056 0.1945 0.7957
0.8056 0.1945 0.2043
0.7281 0.7283 0.0000
0.3237 0.3234 0.5000
0.1944 0.8055 0.2043
0.5000 0.5000 0.2586
0.5000 0.5000 0.7414
0.0000 0.0000 0.0000



Entry 10:
NdSm2ReO8 GGA-PBE relaxed; N(E_F) = 0.00 states/eV per cell; crystal system = orthorhombic; uncorrected formation energy = -2.69 eV/atom; mass density = 6.79 g cm⁻³; SG = No. 65
1.0
-5.0117 -1.0105 0.7340
1.1797 -4.8244 1.4085
0.5526 2.0688 6.6226
O Sm Nd Re
8 2 1 1
Direct
0.1795 0.8203 0.2006
0.2596 0.2596 0.0000
0.8205 0.1797 0.2006
0.6881 0.6886 0.5000
0.8205 0.1797 0.7994
0.1795 0.8203 0.7994
0.3119 0.3114 0.5000
0.7404 0.7404 0.0000
0.5000 0.5000 0.7513
0.5000 0.5000 0.2487
0.0000 0.0000 0.5000
0.0000 0.0000 0.0000



Entry 11:
SrNdReO6 GGA-PBE relaxed; N(E_F) = 0.00 states/eV per cell; crystal system = trigonal; uncorrected formation energy = -2.42 eV/atom; mass density = 5.84 g cm⁻³; SG = No. 149
1.0
-2.9740 -2.8393 -3.9691
2.7399 -2.8832 -4.1041
0.0391 -4.2137 2.9860
Re O Nd Sr
1 6 1 1
Direct
0.3333 0.3333 0.5000
0.6067 0.0567 0.2903
0.3364 0.6069 0.2904
0.6070 0.3363 0.7095
0.0565 0.3366 0.2904
0.0568 0.6068 0.7096
0.3364 0.0566 0.7096
0.6667 0.6667 0.5001
0.0000 0.0000 0.0000



Entry 12:
Sr2NdReO8 GGA-PBE relaxed; crystal system = triclinic; uncorrected formation energy = -2.22 eV/atom; mass density = 6.62 g cm⁻³; SG = No. 2
1.0
5.5420 -0.0658 -0.0046
0.0162 4.3932 0.7995
-0.0355 1.0709 6.7254
Re Sr O Nd
1 2 8 1
Direct
0.0000 0.0000 0.0000
0.4979 0.6228 0.2069
0.5021 0.3772 0.7931
0.5547 0.8546 0.4912
0.9965 0.6471 0.2716
0.0035 0.3529 0.7284
0.7531 0.8272 0.8800
0.2469 0.1728 0.1200
0.4453 0.1454 0.5088
0.2302 0.8086 0.8808
0.7698 0.1914 0.1192
0.0000 0.0000 0.5000



Entry 13:
NdTl2Re3O12 GGA-PBE relaxed; N(E_F) = 5.77 states/eV per cell; crystal system = trigonal; uncorrected formation energy = -1.67 eV/atom; mass density = 7.17 g cm⁻³; SG = No. 166
1.0
7.6243 0.1351 0.0959
3.8828 6.5629 0.0959
3.8828 2.2601 6.1622
Re O Tl Nd
3 12 2 1
Direct
0.0000 0.5000 0.0000
0.0000 0.0000 0.5000
0.5000 0.0000 0.0000
0.9131 0.3778 0.9131
0.0869 0.0869 0.6222
0.0717 0.7056 0.7056
0.2944 0.9283 0.2944
0.6222 0.0869 0.0869
0.7056 0.7056 0.0717
0.2944 0.2944 0.9283
0.9283 0.2944 0.2944
0.3778 0.9131 0.9131
0.0869 0.6222 0.0869
0.7056 0.0717 0.7056
0.9131 0.9131 0.3778
0.6525 0.6525 0.6525
0.3475 0.3475 0.3475
0.0000 0.0000 0.0000



Entry 14:
NdTlRe2O8 GGA-PBE relaxed; N(E_F) = 6.84 states/eV per cell; crystal system = trigonal; uncorrected formation energy = -1.80 eV/atom; mass density = 5.47 g cm⁻³; SG = No. 147
1.0
6.1673 0.0000 0.0000
-3.0836 5.3410 0.0000
0.0000 0.0000 7.8208
Re O Tl Nd
2 8 1 1
Direct
0.6667 0.3333 0.2350
0.3333 0.6667 0.7650
0.6667 0.3333 0.0097
0.1754 0.8271 0.6855
0.6517 0.8246 0.6855
0.3333 0.6667 0.9903
0.1729 0.3483 0.6855
0.8246 0.1729 0.3145
0.8271 0.6517 0.3145
0.3483 0.1754 0.3145
0.0000 0.0000 0.0000
0.0000 0.0000 0.5000



Entry 15:
NdTm2ReO8 GGA-PBE relaxed; crystal system = orthorhombic; uncorrected formation energy = -2.78 eV/atom; mass density = 7.67 g cm⁻³; SG = No. 65
1.0
5.0295 0.0013 -0.0031
0.0354 5.0266 -0.0056
0.0042 0.0076 6.8153
O Nd Tm Re
8 1 2 1
Direct
0.6822 0.6834 0.5000
0.1859 0.8133 0.2016
0.2681 0.2673 0.0000
0.8141 0.1867 0.2016
0.7319 0.7327 0.0000
0.3178 0.3166 0.5000
0.1859 0.8133 0.7984
0.8141 0.1867 0.7984
0.0000 0.0000 0.5000
0.5000 0.5000 0.2519
0.5000 0.5000 0.7481
0.0000 0.0000 0.0000